Computed, not measured: a relaxed structure of PuNpOsRu at the PBE-GGA level of DFT. Values from VASP.

Cell and atoms, written as Quantum ESPRESSO input:
```
&SYSTEM
  ibrav = 0, nat = 4, ntyp = 4
/
ATOMIC_SPECIES
Pu 244.00 Pu.upf
Np 237.00 Np.upf
Os 190.23 Os.upf
Ru 101.07 Ru.upf
CELL_PARAMETERS angstrom
0.000 3.224 3.224
3.224 0.000 3.224
3.224 3.224 0.000
ATOMIC_POSITIONS crystal
Pu 0.000 0.000 0.000
Np 0.750 0.750 0.750
Os 0.500 0.500 0.500
Ru 0.250 0.250 0.250
```

- formation enthalpy at 0 K (eV/atom) = 0.0219
- electronic total energy (eV/cell) = -47.7